Crystalline LiPuPb2O6 at its relaxed geometry, computed with GGA-PBE.

Formation energy from raw total energies in meV per atom: -1817
SG: P2_1/c (14)

a = 5.839 Å, b = 5.977 Å, c = 8.389 Å
α = 90.00°, β = 90.19°, γ = 90.00°
Each line ends with the local moment (μB).
Element x y z (fractional)
Pb (0.487, 0.548, 0.759)  0.00
Pb (0.513, 0.452, 0.241)  0.00
Li (0.000, 0.500, 0.500)  0.00
Pb (0.987, 0.952, 0.259)  0.00
Pb (0.013, 0.048, 0.741)  0.00
O (0.424, 0.966, 0.743)  -0.05
O (0.179, 0.225, 0.041)  -0.07
O (0.821, 0.775, 0.959)  -0.07
Pu (0.500, 0.000, 0.500)  1.39
O (0.789, 0.819, 0.525)  -0.06
Pu (0.000, 0.500, 0.000)  1.39
O (0.711, 0.319, 0.975)  -0.06
O (0.076, 0.466, 0.757)  -0.05
Li (0.500, 0.000, 0.000)  0.00
O (0.576, 0.034, 0.257)  -0.05
O (0.289, 0.681, 0.025)  -0.06
O (0.211, 0.181, 0.475)  -0.06
O (0.679, 0.275, 0.541)  -0.07
O (0.924, 0.534, 0.243)  -0.05
O (0.321, 0.725, 0.459)  -0.07

Crystalline TbTm2HfN4 at its relaxed geometry, computed with GGA-PBE.

Formation energy from raw total energies in meV per atom: -1798
SG: P2/m (10)

a = 3.361 Å, b = 5.840 Å, c = 5.821 Å
α = 109.25°, β = 90.00°, γ = 90.00°
Element x y z (fractional)
N (0.500, 0.766, 0.761)
N (0.000, 0.763, 0.246)
N (0.000, 0.237, 0.754)
Hf (0.000, 0.000, 0.000)
Tb (0.500, 0.500, 0.000)
N (0.500, 0.234, 0.239)
Tm (0.500, 0.000, 0.500)
Tm (0.000, 0.500, 0.500)

Crystalline Er3ThHg6 at its relaxed geometry, computed with GGA-PBE.

Energy relative to the elements in eV/atom: -0.36
SG: P2_1/m (11)

a = 5.155 Å, b = 9.202 Å, c = 11.184 Å
α = 107.31°, β = 90.00°, γ = 90.00°
Element x y z (fractional)
Hg (0.750, 0.534, 0.905)
Hg (0.750, 0.363, 0.290)
Hg (0.750, 0.743, 0.478)
Hg (0.250, 0.062, 0.912)
Th (0.750, 0.069, 0.384)
Hg (0.250, 0.257, 0.522)
Er (0.750, 0.650, 0.194)
Hg (0.750, 0.854, 0.794)
Er (0.250, 0.513, 0.389)
Er (0.250, 0.766, 0.996)
Er (0.750, 0.234, 0.004)
Hg (0.750, 0.938, 0.088)
Er (0.250, 0.350, 0.806)
Hg (0.250, 0.146, 0.206)
Th (0.250, 0.931, 0.616)
Hg (0.250, 0.637, 0.710)
Hg (0.250, 0.466, 0.095)
Er (0.750, 0.487, 0.611)
Hg (0.750, 0.171, 0.694)
Hg (0.250, 0.829, 0.306)

Crystalline Li3B8C8 at its relaxed geometry, computed with GGA-PBE.

Energy relative to the elements in eV/atom: 0.07
E above lowest polymorph in eV per atom: 0.064
SG: Cm (8)

a = 7.938 Å, b = 7.938 Å, c = 9.179 Å
α = 120.74°, β = 120.74°, γ = 19.63°
Element x y z (fractional)
C (0.635, 0.635, 0.516)
C (0.126, 0.126, 0.762)
Li (0.735, 0.735, 0.376)
B (0.355, 0.355, 0.319)
B (0.560, 0.560, 0.123)
C (0.855, 0.855, 0.231)
C (0.088, 0.088, 0.230)
C (0.567, 0.567, 0.952)
B (0.439, 0.439, 0.900)
C (0.429, 0.429, 0.063)
B (0.122, 0.122, 0.420)
C (0.377, 0.377, 0.506)
B (0.897, 0.897, 0.607)
Li (0.261, 0.261, 0.017)
B (0.905, 0.905, 0.125)
Li (0.999, 0.999, 0.489)
C (0.931, 0.931, 0.800)
B (0.639, 0.639, 0.687)
B (0.081, 0.081, 0.877)

Crystalline Hf3Pa2TaN6 at its relaxed geometry, computed with GGA-PBE.

Formation energy from raw total energies in meV per atom: -1565
SG: C2/m (12)

a = 5.631 Å, b = 5.631 Å, c = 5.847 Å
α = 99.23°, β = 99.23°, γ = 120.04°
Element x y z (fractional)
N (0.910, 0.584, 0.729)
Hf (0.837, 0.163, 0.500)
N (0.416, 0.090, 0.271)
Hf (0.163, 0.837, 0.500)
N (0.235, 0.235, 0.730)
N (0.765, 0.765, 0.270)
Pa (0.333, 0.667, 0.000)
Pa (0.667, 0.333, 0.000)
N (0.090, 0.416, 0.271)
Hf (0.500, 0.500, 0.500)
N (0.584, 0.910, 0.729)
Ta (0.000, 0.000, 0.000)

Crystalline FeRu2Pt at its relaxed geometry, computed with GGA-PBE.

Energy relative to the elements in eV/atom: 0.00
SG: P4mm (99)

a = 2.714 Å, b = 2.714 Å, c = 7.603 Å
α = 90.00°, β = 90.00°, γ = 90.00°
Each line ends with the local moment (μB).
Element x y z (fractional)
Fe (0.000, 0.000, 0.497)  2.78
Ru (0.500, 0.500, 0.248)  0.05
Pt (0.500, 0.500, 0.742)  0.13
Ru (0.000, 0.000, 0.014)  -0.07

Crystalline BaNbAs2 at its relaxed geometry, computed with GGA-PBE.

Energy relative to the elements in eV/atom: -0.10
E above lowest polymorph in eV per atom: 0.570
SG: Fm-3m (225)

a = 5.106 Å, b = 5.106 Å, c = 5.106 Å
α = 60.00°, β = 60.00°, γ = 60.00°
Each line ends with the local moment (μB).
Element x y z (fractional)
As (0.250, 0.250, 0.250)  -0.10
Ba (0.500, 0.500, 0.500)  0.06
Nb (0.000, 0.000, 0.000)  1.54
As (0.750, 0.750, 0.750)  -0.10

Crystalline TbTmAgGe at its relaxed geometry, computed with GGA-PBE.

Energy relative to the elements in eV/atom: -0.52
SG: F-43m (216)

a = 5.059 Å, b = 5.059 Å, c = 5.059 Å
α = 60.00°, β = 60.00°, γ = 60.00°
Element x y z (fractional)
Ge (0.250, 0.250, 0.250)
Ag (0.750, 0.750, 0.750)
Tm (0.500, 0.500, 0.500)
Tb (0.000, 0.000, 0.000)

Crystalline LuPaTcAu at its relaxed geometry, computed with GGA-PBE.

Energy relative to the elements in eV/atom: -0.27
SG: F-43m (216)

a = 4.938 Å, b = 4.938 Å, c = 4.938 Å
α = 60.00°, β = 60.00°, γ = 60.00°
Element x y z (fractional)
Lu (0.000, 0.000, 0.000)
Tc (0.750, 0.750, 0.750)
Au (0.250, 0.250, 0.250)
Pa (0.500, 0.500, 0.500)

Crystalline K12Rb3F5 at its relaxed geometry, computed with GGA-PBE.

Formation energy from raw total energies in meV per atom: -1180
SG: Ia-3d (230)

a = 17.115 Å, b = 17.115 Å, c = 17.115 Å
α = 109.47°, β = 109.47°, γ = 109.47°
Element x y z (fractional)
Rb (0.750, 0.375, 0.125)
K (0.581, 0.910, 0.385)
K (0.910, 0.329, 0.526)
K (0.974, 0.590, 0.671)
K (0.615, 0.590, 0.419)
F (0.000, 0.500, 0.500)
K (0.671, 0.581, 0.197)
K (0.581, 0.671, 0.697)
K (0.303, 0.829, 0.419)
F (0.000, 0.000, 0.000)
K (0.590, 0.974, 0.171)
Rb (0.875, 0.125, 0.250)
F (0.750, 0.625, 0.375)
F (0.375, 0.250, 0.125)
F (0.500, 0.000, 0.000)
K (0.385, 0.974, 0.303)
Rb (0.375, 0.625, 0.250)
K (0.171, 0.697, 0.081)
K (0.197, 0.081, 0.671)
K (0.697, 0.171, 0.581)
K (0.090, 0.671, 0.474)
F (0.625, 0.875, 0.250)
K (0.919, 0.115, 0.590)
K (0.303, 0.474, 0.385)
K (0.526, 0.697, 0.115)
F (0.500, 0.500, 0.500)
K (0.081, 0.197, 0.171)
K (0.526, 0.829, 0.910)
F (0.875, 0.625, 0.750)
K (0.171, 0.474, 0.590)
K (0.081, 0.885, 0.410)
K (0.410, 0.385, 0.081)
F (0.125, 0.750, 0.375)
Rb (0.875, 0.750, 0.125)
Rb (0.250, 0.625, 0.875)
K (0.615, 0.026, 0.697)
K (0.803, 0.885, 0.974)
K (0.671, 0.090, 0.974)
K (0.829, 0.526, 0.410)
K (0.026, 0.410, 0.329)
K (0.697, 0.526, 0.615)
K (0.910, 0.581, 0.885)
Rb (0.125, 0.250, 0.875)
K (0.419, 0.329, 0.303)
F (0.250, 0.375, 0.625)
Rb (0.625, 0.375, 0.750)
F (0.000, 0.000, 0.500)
Rb (0.750, 0.875, 0.625)
K (0.115, 0.919, 0.090)
K (0.329, 0.910, 0.026)
K (0.090, 0.419, 0.115)
F (0.000, 0.500, 0.000)
F (0.875, 0.250, 0.625)
F (0.500, 0.500, 0.000)
K (0.474, 0.303, 0.885)
K (0.197, 0.115, 0.026)
K (0.590, 0.615, 0.919)
F (0.375, 0.125, 0.750)
K (0.419, 0.090, 0.615)
Rb (0.125, 0.875, 0.750)
K (0.974, 0.385, 0.803)
F (0.500, 0.000, 0.500)
K (0.115, 0.197, 0.526)
Rb (0.375, 0.750, 0.625)
K (0.803, 0.919, 0.329)
K (0.329, 0.419, 0.803)
K (0.885, 0.081, 0.910)
F (0.750, 0.125, 0.875)
Rb (0.250, 0.125, 0.375)
K (0.919, 0.803, 0.829)
K (0.829, 0.303, 0.919)
Rb (0.625, 0.250, 0.375)
K (0.474, 0.171, 0.090)
K (0.385, 0.410, 0.581)
F (0.250, 0.875, 0.125)
F (0.125, 0.375, 0.250)
F (0.625, 0.750, 0.875)
K (0.885, 0.803, 0.474)
K (0.410, 0.026, 0.829)
K (0.026, 0.615, 0.197)

Crystalline InW at its relaxed geometry, computed with GGA-PBE.

Energy relative to the elements in eV/atom: 1.34
E above lowest polymorph in eV per atom: 0.941
SG: P4_2/mnm (136)

a = 5.590 Å, b = 5.590 Å, c = 5.574 Å
α = 90.00°, β = 90.00°, γ = 90.00°
Element x y z (fractional)
W (0.154, 0.154, 0.000)
W (0.654, 0.346, 0.500)
In (0.819, 0.819, 0.500)
W (0.846, 0.846, 0.000)
In (0.681, 0.319, 0.000)
In (0.181, 0.181, 0.500)
In (0.319, 0.681, 0.000)
W (0.346, 0.654, 0.500)

Crystalline ScAs2Br at its relaxed geometry, computed with GGA-PBE.

Formation energy from raw total energies in meV per atom: -163
E above lowest polymorph in eV per atom: 0.640
SG: F-43m (216)

a = 4.920 Å, b = 4.920 Å, c = 4.920 Å
α = 60.00°, β = 60.00°, γ = 60.00°
Element x y z (fractional)
Sc (0.750, 0.750, 0.750)
As (0.250, 0.250, 0.250)
As (0.000, 0.000, 0.000)
Br (0.500, 0.500, 0.500)